No. 1
VASP calculation (GGA-PBE) on an optimized crystal structure of Nd3HoEr2Tm6.

## Properties
Spin magnetization in μB/atom: 0.00
E_form in meV/atom: 25
D(E_F) in states/eV/f.u.: 16.29

```
12
Lattice="-4.2657 -2.4826 3.6573 5.5077 1.4849 2.2792 -4.3141 10.8383 0.6083" Properties=species:S:1:pos:R:3 pbc="T T T"
Nd 1.7212 6.2426 2.8131
Nd -4.7932 3.5981 3.7317
Nd -1.5360 4.9203 3.2724
Ho 0.0000 0.0000 0.0000
Er 2.2497 0.1624 2.7386
Er -1.0077 -1.1600 3.1979
Tm -3.9495 6.7634 5.1496
Tm -0.1309 1.9179 4.5929
Tm 0.8775 3.0773 1.3952
Tm -0.6912 8.0861 4.6901
Tm -2.9411 7.9228 1.9519
Tm -2.3808 1.7546 1.8546
```


No. 2
VASP calculation (GGA-PBE) on an optimized crystal structure of NdHo3Er2Tm6.

## Properties
Spin magnetization in μB/atom: 0.00
E_form in meV/atom: 24
D(E_F) in states/eV/f.u.: 16.26

```
12
Lattice="-0.6092 6.0342 0.4830 -4.7931 -3.6224 0.9595 4.4894 -1.4198 10.6450" Properties=species:S:1:pos:R:3 pbc="T T T"
Nd 0.0000 0.0000 0.0000
Ho -1.8498 -2.7200 6.2024
Ho 0.9370 3.7119 5.8850
Ho -0.4564 0.4960 6.0437
Er -3.3985 -0.4037 0.8007
Er -2.0037 2.8155 0.6418
Tm 0.0156 2.3553 8.9705
Tm -2.9258 1.4530 3.7554
Tm -0.9284 -1.3633 3.1169
Tm -1.3819 -0.8701 9.1297
Tm 2.0130 -0.4610 8.3320
Tm 0.4691 1.8621 2.9577
```